No. 1
An optimized crystal structure of Mo4PbAuN2, computed with GGA-PBE.

```
8
Lattice="3.2668 0.0000 0.0000 -1.6334 2.8291 0.0000 0.0000 0.0000 12.9818" Properties=species:S:1:pos:R:3 pbc="T T T"
Mo 1.6334 0.9430 10.8190
Mo 0.0000 0.0000 8.8627
Mo 1.6334 0.9430 2.1627
Mo 0.0000 0.0000 4.1191
N 0.0000 1.8861 3.1428
N 0.0000 1.8861 9.8389
Pb 1.6334 0.9430 6.4909
Au 0.0000 0.0000 0.0000
```

Results
* calculated total energy: -8.26 eV per atom
* space group: No. 187



No. 2
An optimized crystal structure of SbMo4AuN2, computed with GGA-PBE.

```
8
Lattice="-1.1313 -0.9289 -2.9243 -1.8157 -0.4672 2.6794 -5.2565 11.3734 -1.5791" Properties=species:S:1:pos:R:3 pbc="T T T"
Mo -3.3112 3.1081 0.2937
Mo -4.3565 9.4260 -1.3087
Mo -0.9001 1.9474 -0.2704
Mo -5.1206 7.0231 -0.2498
Au -2.6283 5.6867 -0.7896
N -2.7127 2.1529 -1.4629
N -5.2628 7.6705 -2.2290
Sb -1.5876 -0.6211 0.8115
```

Results
* calculated total energy: -8.38 eV per atom
* space group: No. 187



No. 3
An optimized crystal structure of Sc4Mo2Au3N3, computed with GGA-PBE.

```
24
Lattice="-3.2483 3.0137 -3.3156 -5.4674 -0.8561 0.0387 1.5245 8.6026 10.9333" Properties=species:S:1:pos:R:3 pbc="T T T"
N -4.9232 4.5542 4.4165
N -2.2679 6.2059 3.2398
N -1.6241 1.5068 -1.6578
N -1.9714 3.8732 5.4860
N -3.0046 10.8719 8.1354
N -4.1865 -0.1117 -0.4791
Sc -0.2675 5.0568 6.3987
Sc -6.4792 2.8454 -1.8176
Sc -1.0852 4.2917 3.4195
Sc -6.5159 9.3865 7.2601
Sc -6.9236 5.7034 1.2576
Sc -0.6752 1.3737 0.3963
Sc -0.7119 7.9147 9.4740
Sc -6.1059 6.4685 4.2369
Mo -3.1412 5.5079 5.0456
Mo -4.0499 5.2522 2.6108
Mo -3.5358 1.8477 -0.9768
Mo -3.6553 8.9124 8.6331
Au -5.4135 3.2922 0.8287
Au -1.7776 7.4680 6.8277
Au -4.3588 8.1035 5.8532
Au -4.0523 6.0696 7.8280
Au -2.8323 2.6567 1.8032
Au -3.1388 4.6906 -0.1716
```

Results
* calculated total energy: -7.72 eV per atom
* space group: No. 15



No. 4
An optimized crystal structure of Sc2Mo4Au3N3, computed with GGA-PBE.

```
24
Lattice="-1.2470 -1.7285 5.1151 0.2897 -5.4015 1.2028 12.8106 3.7922 1.4718" Properties=species:S:1:pos:R:3 pbc="T T T"
N 6.3437 -1.9639 2.5347
N 0.1448 -2.7008 0.6014
N -0.2007 -4.9311 2.7497
N 5.7818 1.0318 3.2934
N 12.0540 1.5932 5.0399
N 5.5096 -1.3740 5.2549
Mo 10.9277 -2.5698 7.2783
Mo 6.4459 -3.0815 6.1048
Mo 0.3029 -5.6047 4.7009
Mo 7.1096 1.6568 1.8105
Mo 0.9256 -0.7681 0.5113
Mo 11.5504 2.2668 3.0887
Mo 4.7437 -4.9948 5.9791
Mo 5.4074 -0.2564 1.6849
Au 8.3759 1.0798 6.1808
Au 9.1117 -2.6605 5.0663
Au 2.7416 -0.6774 2.7233
Au 2.3164 -3.6246 5.3232
Au 3.4774 -4.4177 1.6088
Au 9.5369 0.2867 2.4664
Sc 1.0640 -3.1286 2.7108
Sc 10.7893 -0.2093 5.0788
Sc 4.6326 -2.6997 3.7098
Sc 7.2206 -0.6382 4.0798
```

Results
* calculated total energy: -8.13 eV per atom
* space group: No. 15